No. 1
Entry from the Alexandria database: an optimized crystal structure of NbS2NO (GGA-PBE).

a b c (Å): 4.863 4.863 3.984
angles (deg): 90.00 90.00 90.00
Each line ends with the local moment (μB).
Fractional positions:
Nb  0.000  0.000  0.000  0.00
O  0.500  0.500  0.500  1.41
S  0.000  0.500  0.000  0.19
S  0.500  0.000  0.000  0.19
N  0.000  0.000  0.500  -0.06

Computed properties:
crystal system = tetragonal
ΔE to the lowest computed polymorph = 34.3 kJ/mol of atoms
uncorrected formation energy = 0.663 eV per atom
electronic total energy = -5.6583 eV per atom
theoretical density = 3.30 g cm⁻³


No. 2
Entry from the Alexandria database: an optimized crystal structure of NbSN2O (GGA-PBE).

a b c (Å): 3.738 3.738 3.523
angles (deg): 90.00 90.00 90.00
Each line ends with the local moment (μB).
Fractional positions:
N  0.500  0.000  0.000  -0.05
N  0.000  0.500  0.000  -0.05
S  0.000  0.000  0.000  0.01
Nb  0.500  0.500  0.500  1.03
O  0.000  0.000  0.500  -0.01

Computed properties:
crystal system = tetragonal
uncorrected formation energy = 0.783 eV per atom
electronic total energy = -6.3784 eV per atom
theoretical density = 5.70 g cm⁻³


No. 3
Entry from the Alexandria database: an optimized crystal structure of NbSN2O (GGA-PBE).

a b c (Å): 4.208 4.208 3.845
angles (deg): 90.00 90.00 90.00
Fractional positions:
Nb  0.000  0.000  0.000
O  0.000  0.000  0.500
S  0.500  0.500  0.500
N  0.500  0.000  0.000
N  0.000  0.500  0.000

Computed properties:
crystal system = tetragonal
uncorrected formation energy = 0.480 eV per atom
electronic total energy = -6.6817 eV per atom
theoretical density = 4.12 g cm⁻³


No. 4
Entry from the Alexandria database: an optimized crystal structure of NbSN2O (GGA-PBE).

a b c (Å): 3.800 3.800 3.594
angles (deg): 90.00 90.00 90.00
Fractional positions:
Nb  0.500  0.500  0.500
N  0.500  0.000  0.000
S  0.000  0.000  0.500
N  0.000  0.500  0.000
O  0.000  0.000  0.000

Computed properties:
crystal system = tetragonal
uncorrected formation energy = 1.312 eV per atom
electronic total energy = -5.8491 eV per atom
theoretical density = 5.41 g cm⁻³


No. 5
Entry from the Alexandria database: an optimized crystal structure of NbS2NO (GGA-PBE).

a b c (Å): 4.898 3.901 4.898
angles (deg): 90.00 90.00 90.00
Each line ends with the local moment (μB).
Fractional positions:
S  0.500  0.000  0.000  -0.22
Nb  0.000  0.000  0.000  0.26
N  0.500  0.500  0.500  1.73
O  0.000  0.500  0.000  -0.04
S  0.000  0.000  0.500  -0.28

Computed properties:
crystal system = tetragonal
ΔE to the lowest computed polymorph = 0.0 kJ/mol of atoms
uncorrected formation energy = 0.308 eV per atom
electronic total energy = -6.0138 eV per atom
theoretical density = 3.32 g cm⁻³


No. 6
Entry from the Alexandria database: an optimized crystal structure of NbS2NO (GGA-PBE).

a b c (Å): 4.015 4.015 3.854
angles (deg): 90.00 90.00 90.00
Fractional positions:
N  0.000  0.000  0.500
S  0.500  0.000  0.000
O  0.000  0.000  0.000
S  0.000  0.500  0.000
Nb  0.500  0.500  0.500

Computed properties:
crystal system = tetragonal
ΔE to the lowest computed polymorph = 64.5 kJ/mol of atoms
uncorrected formation energy = 0.976 eV per atom
electronic total energy = -5.3456 eV per atom
theoretical density = 5.00 g cm⁻³


No. 7
Entry from the Alexandria database: an optimized crystal structure of NbSN2O (GGA-PBE).

a b c (Å): 3.994 3.994 5.093
angles (deg): 90.00 90.00 90.00
Each line ends with the local moment (μB).
Fractional positions:
O  0.500  0.500  0.500  1.10
N  0.500  0.000  0.000  0.52
Nb  0.000  0.000  0.000  -0.15
S  0.000  0.000  0.500  0.33
N  0.000  0.500  0.000  0.52

Computed properties:
crystal system = tetragonal
uncorrected formation energy = 1.014 eV per atom
electronic total energy = -6.1471 eV per atom
theoretical density = 3.45 g cm⁻³


No. 8
Entry from the Alexandria database: an optimized crystal structure of NbSbN2O (GGA-PBE).

a b c (Å): 4.044 4.044 3.893
angles (deg): 90.00 90.00 90.00
Each line ends with the local moment (μB).
Fractional positions:
Nb  0.500  0.500  0.500  1.88
O  0.000  0.000  0.500  -0.01
Sb  0.000  0.000  0.000  0.01
N  0.000  0.500  0.000  -0.10
N  0.500  0.000  0.000  -0.10

Computed properties:
crystal system = tetragonal
uncorrected formation energy = 0.571 eV per atom
electronic total energy = -6.5888 eV per atom
theoretical density = 6.75 g cm⁻³


No. 9
Entry from the Alexandria database: an optimized crystal structure of NbSbN2O (GGA-PBE).

a b c (Å): 4.176 4.176 3.919
angles (deg): 90.00 90.00 90.00
Fractional positions:
Nb  0.000  0.000  0.000
N  0.500  0.000  0.000
Sb  0.500  0.500  0.500
N  0.000  0.500  0.000
O  0.000  0.000  0.500

Computed properties:
crystal system = tetragonal
uncorrected formation energy = -0.287 eV per atom
electronic total energy = -7.4470 eV per atom
theoretical density = 6.28 g cm⁻³


No. 10
Entry from the Alexandria database: an optimized crystal structure of ScNbNO2 (GGA-PBE).

a b c (Å): 3.929 3.929 4.103
angles (deg): 90.00 90.00 90.00
Fractional positions:
Sc  0.500  0.500  0.500
O  0.500  0.000  0.000
O  0.000  0.500  0.000
Nb  0.000  0.000  0.000
N  0.000  0.000  0.500

Computed properties:
crystal system = tetragonal
uncorrected formation energy = -1.676 eV per atom
electronic total energy = -8.6042 eV per atom
theoretical density = 4.82 g cm⁻³


No. 11
Entry from the Alexandria database: an optimized crystal structure of ScNbNO2 (GGA-PBE).

a b c (Å): 3.887 3.887 4.184
angles (deg): 90.00 90.00 90.00
Each line ends with the local moment (μB).
Fractional positions:
N  0.000  0.000  0.500  -0.28
Sc  0.000  0.000  0.000  0.01
O  0.500  0.000  0.000  -0.10
O  0.000  0.500  0.000  -0.10
Nb  0.500  0.500  0.500  1.40

Computed properties:
crystal system = tetragonal
uncorrected formation energy = -0.899 eV per atom
electronic total energy = -7.8281 eV per atom
theoretical density = 4.83 g cm⁻³


No. 12
Entry from the Alexandria database: an optimized crystal structure of NbSeN2O (GGA-PBE).

a b c (Å): 4.213 4.213 3.858
angles (deg): 90.00 90.00 90.00
Fractional positions:
Nb  0.000  0.000  0.000
N  0.500  0.000  0.000
Se  0.500  0.500  0.500
N  0.000  0.500  0.000
O  0.000  0.000  0.500

Computed properties:
crystal system = tetragonal
uncorrected formation energy = 0.249 eV per atom
electronic total energy = -6.7840 eV per atom
theoretical density = 5.24 g cm⁻³


No. 13
Entry from the Alexandria database: an optimized crystal structure of NbSeNO2 (GGA-PBE).

a b c (Å): 3.912 3.912 4.453
angles (deg): 90.00 90.00 90.00
Each line ends with the local moment (μB).
Fractional positions:
Se  0.500  0.500  0.500  0.59
O  0.500  0.000  0.000  0.08
Nb  0.000  0.000  0.000  0.03
O  0.000  0.500  0.000  0.08
N  0.000  0.000  0.500  -0.05

Computed properties:
crystal system = tetragonal
uncorrected formation energy = -0.540 eV per atom
electronic total energy = -6.8995 eV per atom
theoretical density = 5.31 g cm⁻³


No. 14
Entry from the Alexandria database: an optimized crystal structure of NbSeN2O (GGA-PBE).

a b c (Å): 3.893 3.893 3.752
angles (deg): 90.00 90.00 90.00
Each line ends with the local moment (μB).
Fractional positions:
Nb  0.500  0.500  0.500  1.59
O  0.000  0.000  0.500  -0.03
N  0.500  0.000  0.000  -0.08
Se  0.000  0.000  0.000  0.03
N  0.000  0.500  0.000  -0.08

Computed properties:
crystal system = tetragonal
uncorrected formation energy = 0.922 eV per atom
electronic total energy = -6.1105 eV per atom
theoretical density = 6.30 g cm⁻³


No. 15
Entry from the Alexandria database: an optimized crystal structure of NbSeNO2 (GGA-PBE).

a b c (Å): 3.837 3.837 4.101
angles (deg): 90.00 90.00 90.00
Each line ends with the local moment (μB).
Fractional positions:
O  0.500  0.000  0.000  -0.02
Se  0.000  0.000  0.000  0.00
Nb  0.500  0.500  0.500  2.00
O  0.000  0.500  0.000  -0.02
N  0.000  0.000  0.500  -0.12

Computed properties:
crystal system = tetragonal
uncorrected formation energy = 0.442 eV per atom
electronic total energy = -5.9169 eV per atom
theoretical density = 5.99 g cm⁻³